1.
Material: SiPb2SeF
Method: DFT, PBE-GGA
State: relaxed

Unit cell a=5.5842 b=5.5842 c=3.8817 alpha=90.00 beta=90.00 gamma=90.00
Last column: nearest neighbours and their distance in Å.
Fractional coordinates of all 5 atoms:
Si (0.0000, 0.0000, 0.0000)  2 F 1.94
Pb (0.0000, 0.5000, 0.0000)  2 Si 2.79
Pb (0.5000, 0.0000, 0.0000)  2 Si 2.79
Se (0.5000, 0.5000, 0.5000)  8 Pb 3.40
F (0.0000, 0.0000, 0.5000)  2 Si 1.94


2.
Material: YNiSe
Method: DFT, PBE-GGA
State: relaxed

Unit cell a=4.3781 b=4.3781 c=4.3781 alpha=60.00 beta=60.00 gamma=60.00
Last column: nearest neighbours and their distance in Å.
Fractional coordinates of all 3 atoms:
Y (0.0000, 0.0000, 0.0000)  4 Ni 2.68
Ni (0.2500, 0.2500, 0.2500)  4 Se 2.68, 4 Y 2.68
Se (0.5000, 0.5000, 0.5000)  4 Ni 2.68


N(E_F), respectively: 2.02; 1.95 states/eV per cell.
ΔE_f (raw), respectively: -490.8; -723.0 meV/atom.